(1)
Here is a relaxed structure of YCdFeRu2 from Alexandria. Energies are from PBE.

**Raw total energy**: -5.0407 eV/atom
**D(E_F)**: 7.9 states/eV/cell

extended XYZ file:
```
5
Lattice="4.881 0.000 0.000 0.000 4.881 0.000 0.000 0.000 5.236" Properties=species:S:1:pos:R:3 pbc="T T T"
Y 0.000 0.000 0.000
Cd 0.000 0.000 2.618
Fe 2.440 2.440 0.000
Ru 0.000 2.440 2.618
Ru 2.440 0.000 2.618
```

(2)
Here is a relaxed structure of LaY2Mg from Alexandria. Energies are from PBE.

**Raw total energy**: -4.8927 eV/atom
**D(E_F)**: 5.3 states/eV/cell

extended XYZ file:
```
4
Lattice="3.703 0.000 0.000 0.000 3.703 0.000 0.000 0.000 9.226" Properties=species:S:1:pos:R:3 pbc="T T T"
La 0.000 0.000 0.000
Y 0.000 0.000 4.237
Y 1.852 1.852 6.647
Mg 1.852 1.852 2.235
```

(3)
Here is a relaxed structure of LiSb2W from Alexandria. Energies are from PBE.

**ΔE_f (raw)**: 0.275 eV per atom
**Relative energy among the computed polymorphs**: 18.3 kJ per mole of atoms
**D(E_F)**: 3.7 states/eV/cell

extended XYZ file:
```
4
Lattice="4.333 -1.657 0.000 4.333 1.657 0.000 -1.148 0.000 5.833" Properties=species:S:1:pos:R:3 pbc="T T T"
Li 0.000 0.000 0.000
Sb 1.225 0.000 4.231
Sb 6.293 0.000 1.602
W 3.759 0.000 2.916
```

(4)
Here is a relaxed structure of CaLaIr2 from Alexandria. Energies are from PBE.

**Relative energy among the computed polymorphs**: 31.3 kJ per mole of atoms
**D(E_F)**: 6.4 states/eV/cell

extended XYZ file:
```
4
Lattice="3.585 0.000 0.000 0.000 3.585 0.000 0.000 0.000 8.207" Properties=species:S:1:pos:R:3 pbc="T T T"
Ca 0.000 0.000 0.000
La 1.792 1.792 4.748
Ir 0.000 0.000 2.822
Ir 1.792 1.792 2.071
```

(5)
Here is a relaxed structure of SrSm2Y3Te6 from Alexandria. Energies are from PBE.

**ΔE_f (raw)**: -1.398 eV per atom
**D(E_F)**: 5.7 states/eV/cell

extended XYZ file:
```
12
Lattice="9.711 -2.218 0.000 9.711 2.218 0.000 -2.153 0.000 8.670" Properties=species:S:1:pos:R:3 pbc="T T T"
Sr 0.000 0.000 0.000
Sm 4.950 0.000 5.667
Sm 12.320 0.000 3.002
Y -1.076 0.000 4.335
Y 6.117 0.000 1.549
Y 11.153 0.000 7.120
Te 1.897 0.000 5.076
Te 3.156 0.000 0.692
Te 8.094 0.000 6.406
Te 9.176 0.000 2.263
Te 14.114 0.000 7.977
Te 15.373 0.000 3.593
```

(6)
Here is a relaxed structure of KYZnO3 from Alexandria. Energies are from PBE.

**ΔE_f (raw)**: -2.220 eV per atom
**D(E_F)**: 0.0 states/eV/cell

extended XYZ file:
```
12
Lattice="7.360 0.000 0.000 0.000 3.531 0.000 -3.320 0.000 8.700" Properties=species:S:1:pos:R:3 pbc="T T T"
K 0.883 0.883 1.462
K 3.157 2.648 7.238
Y -0.407 2.648 7.443
Y 4.446 0.883 1.257
Zn -1.779 0.883 5.377
Zn 5.819 2.648 3.323
O -2.003 0.883 7.316
O -0.721 2.648 5.120
O 3.007 2.648 1.004
O 1.032 0.883 7.696
O 4.760 0.883 3.580
O 6.042 2.648 1.384
```

(7)
Here is a relaxed structure of LiTiAgAu from Alexandria. Energies are from PBE.

**Raw total energy**: -4.1947 eV/atom
**D(E_F)**: 4.5 states/eV/cell

extended XYZ file:
```
4
Lattice="0.000 3.200 3.200 3.200 0.000 3.200 3.200 3.200 0.000" Properties=species:S:1:pos:R:3 pbc="T T T"
Li 0.000 0.000 0.000
Ti 3.200 3.200 3.200
Ag 1.600 1.600 1.600
Au 4.800 4.800 4.800
```

(8)
Here is a relaxed structure of K3Li2RuF9 from Alexandria. Energies are from PBE.

**ΔE_f (raw)**: -2.522 eV per atom
**D(E_F)**: 8.4 states/eV/cell

extended XYZ file:
```
15
Lattice="5.834 0.000 0.000 -2.917 5.052 0.000 0.000 0.000 7.393" Properties=species:S:1:pos:R:3 pbc="T T T"
K 0.000 0.000 0.000
K 0.000 3.368 2.153
K 2.917 1.684 5.240
Li 0.000 3.368 6.565
Li 2.917 1.684 0.828
Ru 0.000 0.000 3.697
F -1.458 2.526 0.000
F 0.000 1.597 4.826
F -1.534 4.254 4.826
F 1.383 0.798 2.567
F 2.917 0.000 0.000
F 1.458 2.526 0.000
F 1.534 4.254 4.826
F 4.451 0.798 2.567
F 2.917 3.456 2.567
```

(9)
Here is a relaxed structure of MnFeCu2 from Alexandria. Energies are from PBE.

**Raw total energy**: -6.2797 eV/atom
**D(E_F)**: 4.3 states/eV/cell

extended XYZ file:
```
4
Lattice="1.451 -1.961 0.000 1.451 1.961 0.000 0.000 0.000 8.162" Properties=species:S:1:pos:R:3 pbc="T T T"
Mn 0.000 0.000 0.000
Fe 1.451 0.000 6.193
Cu 0.000 0.000 4.132
Cu 1.451 0.000 2.067
```

(10)
Here is a relaxed structure of Pr2Sm2Ho5 from Alexandria. Energies are from PBE.

**Relative energy among the computed polymorphs**: 0.0 kJ per mole of atoms
**D(E_F)**: 29.3 states/eV/cell

extended XYZ file:
```
18
Lattice="-7.506 5.945 3.378 7.506 -5.945 3.378 7.506 5.945 -3.378" Properties=species:S:1:pos:R:3 pbc="T T T"
Pr 1.900 0.028 0.000
Pr 5.606 0.028 0.000
Pr 1.900 5.917 3.378
Pr 5.606 5.917 3.378
Sm 0.000 0.000 3.074
Sm 7.506 0.000 3.074
Sm 3.753 -0.115 3.695
Sm 3.753 6.060 0.317
Ho 3.753 2.900 -1.007
Ho 9.647 3.163 -1.140
Ho 5.366 -2.782 2.239
Ho 0.796 3.050 0.996
Ho 6.710 3.050 0.996
Ho -2.140 2.782 2.239
Ho 9.647 2.782 2.239
Ho 3.753 3.045 2.371
Ho -0.796 8.840 0.996
Ho 0.796 2.895 4.374
```

(11)
Here is a relaxed structure of ZrB2AuBr from Alexandria. Energies are from PBE.

**ΔE_f (raw)**: 1.852 eV per atom
**D(E_F)**: 4.0 states/eV/cell

extended XYZ file:
```
5
Lattice="4.268 0.000 0.000 0.000 4.268 0.000 0.000 0.000 4.957" Properties=species:S:1:pos:R:3 pbc="T T T"
Zr 0.000 0.000 0.000
B 0.000 2.134 2.478
B 2.134 0.000 2.478
Au 2.134 2.134 0.000
Br 2.134 2.134 2.478
```

(12)
Here is a relaxed structure of Li2NbMoRu from Alexandria. Energies are from PBE.

**Raw total energy**: -5.3917 eV/atom
**D(E_F)**: 5.8 states/eV/cell

extended XYZ file:
```
5
Lattice="4.363 0.000 0.000 0.000 4.363 0.000 0.000 0.000 4.572" Properties=species:S:1:pos:R:3 pbc="T T T"
Li 0.000 2.182 0.000
Li 2.182 0.000 0.000
Nb 0.000 0.000 2.286
Mo 2.182 2.182 0.000
Ru 2.182 2.182 2.286
```

(13)
Here is a relaxed structure of TaFePd14 from Alexandria. Energies are from PBE.

**Raw total energy**: -5.9893 eV/atom
**D(E_F)**: 21.3 states/eV/cell

extended XYZ file:
```
16
Lattice="5.615 0.000 0.000 0.000 5.615 0.000 0.000 0.000 7.766" Properties=species:S:1:pos:R:3 pbc="T T T"
Ta 0.000 0.000 0.000
Fe 2.807 2.807 0.000
Pd 0.000 0.000 3.883
Pd 0.000 2.807 0.000
Pd 0.000 2.807 3.883
Pd 1.402 1.402 1.880
Pd 1.402 1.402 5.886
Pd 1.402 4.213 1.880
Pd 1.402 4.213 5.886
Pd 2.807 0.000 0.000
Pd 2.807 0.000 3.883
Pd 2.807 2.807 3.883
Pd 4.213 1.402 1.880
Pd 4.213 1.402 5.886
Pd 4.213 4.213 1.880
Pd 4.213 4.213 5.886
```

(14)
Here is a relaxed structure of Dy5YHo3 from Alexandria. Energies are from PBE.

**Relative energy among the computed polymorphs**: 0.0 kJ per mole of atoms
**D(E_F)**: 30.0 states/eV/cell

extended XYZ file:
```
18
Lattice="8.178 -4.346 0.000 8.178 4.346 0.000 -7.405 0.000 8.163" Properties=species:S:1:pos:R:3 pbc="T T T"
Dy -0.740 1.881 6.553
Dy 2.624 2.293 6.123
Dy 3.449 1.051 3.465
Dy 5.987 1.881 5.692
Dy 9.203 1.051 0.617
Dy -0.254 -1.051 7.547
Dy 2.963 -1.881 2.472
Dy 5.501 -1.051 4.699
Dy 6.326 -2.293 2.041
Dy 9.690 -1.881 1.610
Y 6.326 1.497 2.041
Y 2.624 -1.497 6.123
Ho 0.000 0.000 0.000
Ho -3.703 0.000 4.082
Ho -3.616 0.281 7.908
Ho 0.087 -0.281 3.826
Ho 8.863 0.281 4.338
Ho 12.565 -0.281 0.256
```

(15)
Here is a relaxed structure of MgIrBr2 from Alexandria. Energies are from PBE.

**ΔE_f (raw)**: 0.185 eV per atom
**Relative energy among the computed polymorphs**: 40.7 kJ per mole of atoms
**D(E_F)**: 3.2 states/eV/cell

extended XYZ file:
```
4
Lattice="3.308 -3.981 0.000 3.308 3.981 0.000 -3.299 0.000 3.440" Properties=species:S:1:pos:R:3 pbc="T T T"
Mg 0.000 0.000 0.000
Ir 3.308 0.000 0.000
Br 0.005 1.991 1.720
Br 0.005 -1.991 1.720
```

(16)
Here is a relaxed structure of SrNd2Lu from Alexandria. Energies are from PBE.

**Relative energy among the computed polymorphs**: 0.0 kJ per mole of atoms
**D(E_F)**: 4.3 states/eV/cell

extended XYZ file:
```
4
Lattice="4.076 0.000 0.000 0.000 4.076 0.000 0.000 0.000 9.220" Properties=species:S:1:pos:R:3 pbc="T T T"
Sr 0.000 0.000 0.000
Nd 2.038 2.038 2.740
Nd 2.038 2.038 6.480
Lu 0.000 0.000 4.610
```

(17)
Here is a relaxed structure of TaCd from Alexandria. Energies are from PBE.

**Raw total energy**: -4.5146 eV/atom
**D(E_F)**: 7.6 states/eV/cell

extended XYZ file:
```
4
Lattice="4.731 0.000 0.000 -2.366 4.097 0.000 0.000 0.000 5.495" Properties=species:S:1:pos:R:3 pbc="T T T"
Ta 0.000 2.732 1.374
Ta 2.366 1.366 4.121
Cd 0.000 2.732 4.121
Cd 2.366 1.366 1.374
```

(18)
Here is a relaxed structure of Mn2ZnSi from Alexandria. Energies are from PBE.

**ΔE_f (raw)**: -0.007 eV per atom
**D(E_F)**: 2.6 states/eV/cell

extended XYZ file:
```
4
Lattice="1.309 0.756 8.195 -1.309 0.756 8.195 0.000 -1.512 8.195" Properties=species:S:1:pos:R:3 pbc="T T T"
Mn 0.000 0.000 6.020
Mn 0.000 0.000 18.564
Zn 0.000 0.000 0.000
Si 0.000 0.000 12.292
```

(19)
Here is a relaxed structure of CeYHoTm from Alexandria. Energies are from PBE.

**Raw total energy**: -5.2038 eV/atom
**D(E_F)**: 9.6 states/eV/cell

extended XYZ file:
```
4
Lattice="0.000 3.984 3.984 3.984 0.000 3.984 3.984 3.984 0.000" Properties=species:S:1:pos:R:3 pbc="T T T"
Ce 0.000 0.000 0.000
Y 3.984 3.984 3.984
Ho 1.992 1.992 1.992
Tm 5.976 5.976 5.976
```

(20)
Here is a relaxed structure of PmSm2Er3S6 from Alexandria. Energies are from PBE.

**ΔE_f (raw)**: -1.999 eV per atom
**D(E_F)**: 5.3 states/eV/cell

extended XYZ file:
```
12
Lattice="3.386 -5.886 0.000 3.386 5.886 0.000 -2.265 0.000 6.511" Properties=species:S:1:pos:R:3 pbc="T T T"
Pm 0.000 0.000 0.000
Sm 3.386 1.961 0.000
Sm 3.386 -1.961 0.000
Er 2.254 3.930 3.255
Er 2.254 0.000 3.255
Er 2.254 -3.930 3.255
S 1.132 1.969 1.725
S 0.002 0.000 4.788
S 1.132 -1.969 1.725
S 3.376 1.969 4.786
S 4.506 0.000 1.723
S 3.376 -1.969 4.786
```